1.
## AcTh2Sb (PBE)

Data for a relaxed structure of AcTh2Sb.

Lattice parameters (Å, degrees): 5.1673 4.9648 4.9648 90.00 90.00 90.00
Sites, in units of the cell vectors:
Sb  0.5000  0.0000  0.0000
Ac  0.5000  0.5000  0.5000
Th  0.0000  0.0000  0.5000
Th  0.0000  0.5000  0.0000

Properties
crystal system = tetragonal
symmetry = P4/mmm, No. 123
total moment = 0.0 μB per cell
formation energy without anion corrections = -0.31 eV per atom


2.
## Sm3Bi2Pb (PBE)

Data for a relaxed structure of Sm3Bi2Pb.

Lattice parameters (Å, degrees): 7.8049 7.8988 7.8988 119.70 99.68 99.68
Sites, in units of the cell vectors:
Sm  0.0022  0.1651  0.3329
Sm  0.5022  0.3329  0.1651
Sm  0.0000  0.5000  0.0000
Sm  0.9978  0.8349  0.6671
Sm  0.5000  0.0000  0.5000
Sm  0.4978  0.6671  0.8349
Bi  0.2500  0.9169  0.0831
Bi  0.2500  0.2490  0.7510
Bi  0.7500  0.0831  0.9169
Bi  0.7500  0.7510  0.2490
Pb  0.2500  0.5840  0.4160
Pb  0.7500  0.4160  0.5840

Properties
crystal system = monoclinic
DFT formation energy = -0.748 eV per atom
symmetry = C2/c, No. 15
total moment = 0.0 μB per cell